No. 1
A plane-wave DFT calculation with PBE was carried out for a relaxed structure of LaFeAs.

## Properties
ΔE_f   -0.2759 eV per atom
Crystal system   tetragonal
D(E_F)   3.35 states/eV/cell
Total moment   1.60 Bohr magnetons per cell

Geometry as extended XYZ:
```
3
Lattice="-1.4743 -5.7001 -0.6851 1.7550 -5.5194 -1.2656 0.6035 -1.4492 2.8868" Properties=species:S:1:pos:R:3 pbc="T T T"
As 0.5896 -1.8681 2.6794
La 0.4977 -4.6511 1.3015
Fe 0.4003 -7.5988 -0.1580
```



No. 2
A plane-wave DFT calculation with PBE was carried out for a relaxed structure of Si2BiP.

## Properties
Crystal system   tetragonal
D(E_F)   2.84 states/eV/cell
Uncorrected formation energy   7.9 kcal/mol of atoms
Relative energy among the computed polymorphs   0.0 meV per atom
Total moment   0.00 Bohr magnetons per cell

Geometry as extended XYZ:
```
8
Lattice="-4.5463 -0.0904 -4.8061 4.4398 -2.6147 -4.1506 -1.2246 -5.2157 -3.2977" Properties=species:S:1:pos:R:3 pbc="T T T"
Bi -2.9121 -3.3293 -6.2910
Bi 0.0000 0.0000 0.0000
Si 1.6015 -2.9554 -4.3353
Si -1.3036 -6.1068 -10.0374
Si -0.6664 -5.0981 -6.1049
Si -2.2936 -1.6813 -4.0310
P -0.0533 -1.3525 -4.4783
P 1.5809 -4.5915 -5.9633
```